Entry 1:
DFT (GGA-PBEsol) results for a geometry-optimized YBS3 structure.

abc: 5.158 5.158 5.158
angles: 90.00 90.00 90.00
Sites, in units of the cell vectors:
1 B 0.500 0.500 0.500
2 S 0.000 0.000 0.500
3 S 0.000 0.500 0.000
4 Y 0.000 0.000 0.000
5 S 0.500 0.000 0.000

Calculated values
The space group is Pm-3m, No. 221. The uncorrected formation energy is 0.643 eV/atom. The theoretical density is 2.371 g/cm3. The uncorrected energy comes out at -23.778 eV per cell.

Entry 2:
DFT (GGA-PBEsol) results for a geometry-optimized BaMn3Sb structure.

abc: 5.035 5.035 5.035
angles: 90.00 90.00 90.00
Sites, in units of the cell vectors:
1 Sb 0.000 0.000 0.000
2 Ba 0.500 0.500 0.500
3 Mn 0.000 0.500 0.000
4 Mn 0.000 0.000 0.500
5 Mn 0.500 0.000 0.000

Calculated values
The space group is Pm-3m, No. 221. The uncorrected formation energy is 0.840 eV/atom. The theoretical density is 5.516 g/cm3. The uncorrected energy comes out at -31.787 eV per cell.

Entry 3:
DFT (GGA-PBEsol) results for a geometry-optimized SrRu2Au structure.

abc: 2.864 2.864 9.856
angles: 81.65 81.65 60.00
Sites, in units of the cell vectors:
1 Au 0.000 0.000 0.000
2 Ru 0.257 0.257 0.228
3 Sr 0.500 0.500 0.500
4 Ru 0.743 0.743 0.772

Calculated values
The space group is R-3m, No. 166. The theoretical density is 11.709 g/cm3. Its energy of formation is 0.9554 eV per atom. The uncorrected energy comes out at -22.287 eV per cell.

Entry 4:
DFT (GGA-PBEsol) results for a geometry-optimized BaLaMg6 structure.

abc: 5.322 7.062 7.062
angles: 119.99 90.00 90.00
Sites, in units of the cell vectors:
1 Mg 0.000 0.597 0.403
2 Mg 0.000 0.055 0.402
3 La 0.000 0.083 0.917
4 Mg 0.500 0.912 0.575
5 Mg 0.000 0.598 0.945
6 Mg 0.500 0.913 0.087
7 Ba 0.500 0.416 0.584
8 Mg 0.500 0.425 0.088

Calculated values
The space group is Amm2, No. 38. The theoretical density is 3.049 g/cm3. Its energy of formation is -0.0163 eV per atom. The uncorrected energy comes out at -17.928 eV per cell.

Entry 5:
DFT (GGA-PBEsol) results for a geometry-optimized Zr2ZnIn structure.

abc: 3.101 4.099 6.118
angles: 90.00 90.00 90.00
Sites, in units of the cell vectors:
1 Zn 0.500 0.500 0.500
2 In 0.500 0.500 0.000
3 Zr 0.000 0.000 0.739
4 Zr 0.000 0.000 0.261

Calculated values
The space group is Pmmm, No. 47. The theoretical density is 7.744 g/cm3. Its energy of formation is -0.3168 eV per atom. The uncorrected energy comes out at -24.011 eV per cell.

Entry 6:
DFT (GGA-PBEsol) results for a geometry-optimized KTlAg2 structure.

abc: 5.028 5.113 5.113
angles: 62.67 60.55 60.55
Sites, in units of the cell vectors:
1 K 0.000 0.500 0.500
2 Tl 0.500 0.000 0.000
3 Ag 0.772 0.228 0.228
4 Ag 0.228 0.772 0.772

Calculated values
The space group is Immm, No. 71. The theoretical density is 7.984 g/cm3. Its energy of formation is 0.2133 eV per atom. The uncorrected energy comes out at -9.532 eV per cell.

Entry 7:
DFT (GGA-PBEsol) results for a geometry-optimized BaVClO3 structure.

abc: 5.248 7.329 10.437
angles: 90.00 90.00 90.00
Sites, in units of the cell vectors:
1 O 0.508 0.095 0.594
2 Cl 0.250 0.422 0.396
3 Cl 0.250 0.078 0.896
4 V 0.250 0.549 0.043
5 O 0.250 0.718 0.144
6 O 0.492 0.595 0.906
7 Ba 0.750 0.596 0.305
8 O 0.008 0.595 0.906
9 V 0.750 0.049 0.457
10 Cl 0.750 0.578 0.604
11 O 0.750 0.282 0.856
12 Cl 0.750 0.922 0.104
13 O 0.492 0.905 0.406
14 O 0.750 0.218 0.356
15 V 0.250 0.951 0.543
16 V 0.750 0.451 0.957
17 O 0.992 0.095 0.594
18 O 0.508 0.405 0.094
19 Ba 0.750 0.904 0.805
20 O 0.992 0.405 0.094
21 Ba 0.250 0.096 0.195
22 O 0.250 0.782 0.644
23 O 0.008 0.905 0.406
24 Ba 0.250 0.404 0.695

Calculated values
The space group is Pnma, No. 62. The uncorrected formation energy is -2.611 eV/atom. The theoretical density is 4.495 g/cm3. The uncorrected energy comes out at -180.811 eV per cell.

Entry 8:
DFT (GGA-PBEsol) results for a geometry-optimized Li8Au structure.

abc: 4.238 6.428 6.428
angles: 83.76 70.75 70.75
Sites, in units of the cell vectors:
1 Li 0.319 0.681 0.681
2 Li 0.654 0.000 0.691
3 Li 0.654 0.691 0.000
4 Li 0.000 0.319 0.681
5 Li 0.000 0.681 0.319
6 Li 0.346 0.309 0.000
7 Li 0.681 0.319 0.319
8 Li 0.346 0.000 0.309
9 Au 0.000 0.000 0.000

Calculated values
The space group is I4/mmm, No. 139. The theoretical density is 2.686 g/cm3. Its energy of formation is -0.1583 eV per atom. The uncorrected energy comes out at -21.082 eV per cell.

Entry 9:
DFT (GGA-PBEsol) results for a geometry-optimized CuHg2Ru structure.

abc: 2.913 4.749 5.306
angles: 110.74 105.93 90.00
Sites, in units of the cell vectors:
1 Ru 0.483 0.549 0.966
2 Hg 0.012 0.066 0.024
3 Cu 0.769 0.204 0.537
4 Hg 0.237 0.681 0.473

Calculated values
The space group is Cm, No. 8. The theoretical density is 14.318 g/cm3. Its energy of formation is 0.3888 eV per atom. The uncorrected energy comes out at -14.085 eV per cell.

Entry 10:
DFT (GGA-PBEsol) results for a geometry-optimized BeCu3Re structure.

abc: 4.565 4.565 4.565
angles: 90.00 90.00 90.00
Sites, in units of the cell vectors:
1 Cu 0.000 0.000 0.500
2 Cu 0.500 0.000 0.000
3 Be 0.500 0.500 0.500
4 Cu 0.000 0.500 0.000
5 Re 0.000 0.000 0.000

Calculated values
The space group is Pm-3m, No. 221. The theoretical density is 6.734 g/cm3. Its energy of formation is 2.0207 eV per atom. The uncorrected energy comes out at -20.231 eV per cell.

Entry 11:
DFT (GGA-PBEsol) results for a geometry-optimized CaPdW3 structure.

abc: 4.779 4.779 4.779
angles: 90.00 90.00 90.00
Sites, in units of the cell vectors:
1 Pd 0.000 0.000 0.000
2 W 0.000 0.000 0.500
3 W 0.500 0.000 0.000
4 Ca 0.500 0.500 0.500
5 W 0.000 0.500 0.000

Calculated values
The space group is Pm-3m, No. 221. The theoretical density is 10.617 g/cm3. Its energy of formation is 2.0794 eV per atom. The uncorrected energy comes out at -39.117 eV per cell.

Entry 12:
DFT (GGA-PBEsol) results for a geometry-optimized MnFeSn3 structure.

abc: 4.858 4.858 4.858
angles: 90.00 90.00 90.00
Sites, in units of the cell vectors:
1 Mn 0.000 0.000 0.000
2 Sn 0.000 0.500 0.000
3 Fe 0.500 0.500 0.500
4 Sn 0.500 0.000 0.000
5 Sn 0.000 0.000 0.500

Calculated values
The space group is Pm-3m, No. 221. The theoretical density is 6.762 g/cm3. Its energy of formation is 0.7461 eV per atom. The uncorrected energy comes out at -27.772 eV per cell.

- Among the records above, which one has the lowest theoretical density?
  YBS3